[1]
Compound: NiBi3
Source: the Alexandria database
Functional: PBE
Structure: optimized geometry

Geometry as CIF:
```
data_NiBi3
_space_group_name_H-M_alt 'P 1 21/m 1'
_space_group_IT_number 11
_space_group_name_Hall '-P 2yb'
_cell_length_a 6.842
_cell_length_b 3.440
_cell_length_c 9.624
_cell_angle_alpha 90.00
_cell_angle_beta 108.23
_cell_angle_gamma 90.00
loop_
_atom_site_label
_atom_site_type_symbol
_atom_site_fract_x
_atom_site_fract_y
_atom_site_fract_z
_atom_site_occupancy
Ni1 Ni 0.229 0.250 0.180 1
Bi1 Bi 0.154 0.750 0.383 1
Bi2 Bi 0.190 0.750 0.951 1
Bi3 Bi 0.432 0.250 0.706 1
```

* energy relative to the lowest polymorph listed for this composition: 1.28 kcal/mol of atoms
* electronic total energy: -4.33 eV per atom
* volume: 107.57 Å³/f.u.

=====

[2]
Compound: Ni5Bi
Source: the Alexandria database
Functional: PBE
Structure: optimized geometry

Geometry as CIF:
```
data_Ni5Bi
_space_group_name_H-M_alt 'C m m m'
_space_group_IT_number 65
_space_group_name_Hall '-C 2 2'
_cell_length_a 3.795
_cell_length_b 10.941
_cell_length_c 3.747
_cell_angle_alpha 90.00
_cell_angle_beta 90.00
_cell_angle_gamma 90.00
loop_
_atom_site_label
_atom_site_type_symbol
_atom_site_fract_x
_atom_site_fract_y
_atom_site_fract_z
_atom_site_occupancy
Ni1 Ni 0.000 0.000 0.000 1
Ni2 Ni 0.000 0.175 0.500 1
Ni3 Ni 0.000 0.322 0.000 1
Bi1 Bi 0.000 0.500 0.500 1
```

* electronic total energy: -5.32 eV per atom
* volume: 77.80 Å³/f.u.

=====

[3]
Compound: NiBi2
Source: the Alexandria database
Functional: PBE
Structure: optimized geometry

Geometry as CIF:
```
data_NiBi2
_space_group_name_H-M_alt 'I 4/m c m'
_space_group_IT_number 140
_space_group_name_Hall '-I 4 2c'
_cell_length_a 6.871
_cell_length_b 6.871
_cell_length_c 5.859
_cell_angle_alpha 90.00
_cell_angle_beta 90.00
_cell_angle_gamma 90.00
loop_
_atom_site_label
_atom_site_type_symbol
_atom_site_fract_x
_atom_site_fract_y
_atom_site_fract_z
_atom_site_occupancy
Ni1 Ni 0.000 0.000 0.250 1
Bi1 Bi 0.171 0.329 0.000 1
```

* electronic total energy: -4.42 eV per atom
* volume: 69.15 Å³/f.u.

=====

[4]
Compound: NiBi4
Source: the Alexandria database
Functional: PBE
Structure: optimized geometry

Geometry as CIF:
```
data_NiBi4
_space_group_name_H-M_alt 'P m -3 m'
_space_group_IT_number 221
_space_group_name_Hall '-P 4 2 3'
_cell_length_a 5.233
_cell_length_b 5.233
_cell_length_c 5.233
_cell_angle_alpha 90.00
_cell_angle_beta 90.00
_cell_angle_gamma 90.00
loop_
_atom_site_label
_atom_site_type_symbol
_atom_site_fract_x
_atom_site_fract_y
_atom_site_fract_z
_atom_site_occupancy
Ni1 Ni 0.000 0.000 0.000 1
Bi1 Bi 0.000 0.000 0.500 1
Bi2 Bi 0.500 0.500 0.500 1
```

* energy relative to the lowest polymorph listed for this composition: 3.04 kcal/mol of atoms
* electronic total energy: -4.01 eV per atom
* volume: 143.27 Å³/f.u.

=====

Sequential total magnetization output: 0.0 0.7 0.0 0.0 μB per formula unit